Density functional theory data (PBE) for crystalline DyPuCoIr at its relaxed geometry.

Results
- Space-group type: No. 216
- Total magnetization: 17.51 μB per cell

Lattice parameters (Å, degrees): 6.780 6.780 6.780 90.00 90.00 90.00
Positions (direct):
Dy: 0.000 0.000 0.000
Dy: 0.000 0.500 0.500
Dy: 0.500 0.000 0.500
Dy: 0.500 0.500 0.000
Pu: 0.000 0.000 0.500
Pu: 0.000 0.500 0.000
Pu: 0.500 0.000 0.000
Pu: 0.500 0.500 0.500
Co: 0.250 0.250 0.750
Co: 0.250 0.750 0.250
Co: 0.750 0.250 0.250
Co: 0.750 0.750 0.750
Ir: 0.250 0.250 0.250
Ir: 0.250 0.750 0.750
Ir: 0.750 0.250 0.750
Ir: 0.750 0.750 0.250



Density functional theory data (PBE) for crystalline YCd at its relaxed geometry.

Results
- Space-group type: No. 225
- Total magnetization: 0.00 μB per cell

Lattice parameters (Å, degrees): 6.205 6.205 6.205 90.00 90.00 90.00
Positions (direct):
Y: 0.000 0.000 0.000
Y: 0.000 0.500 0.500
Y: 0.500 0.000 0.500
Y: 0.500 0.500 0.000
Cd: 0.000 0.000 0.500
Cd: 0.000 0.500 0.000
Cd: 0.500 0.000 0.000
Cd: 0.500 0.500 0.500



Number 1: Fermi-level density of states 7.66 states/eV/f.u., ΔH_f (0 K) -0.337 eV/atom. Number 2: Fermi-level density of states 2.10 states/eV/f.u., ΔH_f (0 K) -0.008 eV/atom.